P) MnGaTeN2 | PBE | relaxed

Summary:
The total magnetic moment is 0.00 μB per atom.

Unit cell a=3.7797 b=3.7797 c=5.8996 alpha=90.00 beta=90.00 gamma=90.00
With the nearest neighbours (Å) after each atom.
Sites, in units of the cell vectors:
Mn (0.0000, 0.0000, 0.0000)  4 N 1.89
Ga (0.5000, 0.5000, 0.5000)  4 Te 2.67
Te (0.0000, 0.0000, 0.5000)  4 Ga 2.67, 2 Mn 2.95
N (0.0000, 0.5000, 0.0000)  2 Mn 1.89
N (0.5000, 0.0000, 0.0000)  2 Mn 1.89



Q) MnGaTeN2 | PBE | relaxed

Summary:
The total magnetic moment is 0.05 μB per atom.

Unit cell a=3.8273 b=3.8273 c=5.7655 alpha=90.00 beta=90.00 gamma=90.00
With the nearest neighbours (Å) after each atom.
Sites, in units of the cell vectors:
Mn (0.0000, 0.0000, 0.0000)  4 Te 2.71
Ga (0.5000, 0.5000, 0.5000)  4 N 1.91
Te (0.5000, 0.5000, 0.0000)  4 Mn 2.71, 2 Ga 2.88
N (0.0000, 0.5000, 0.5000)  2 Ga 1.91
N (0.5000, 0.0000, 0.5000)  2 Ga 1.91



Least stable of them? Q).



P) NaMn2Ga2 | PBE | relaxed

Summary:
The total magnetic moment is 0.00 μB per atom.

Unit cell a=7.5610 b=7.5610 c=2.6050 alpha=90.00 beta=90.00 gamma=90.00
With the nearest neighbours (Å) after each atom.
Sites, in units of the cell vectors:
Na (0.0000, 0.0000, 0.0000)  2 Na 2.61
Na (0.5000, 0.5000, 0.0000)  2 Na 2.61
Mn (0.0966, 0.4034, 0.0000)  1 Mn 2.07
Mn (0.4034, 0.9034, 0.0000)  1 Mn 2.07
Mn (0.5966, 0.0966, 0.0000)  1 Mn 2.07
Mn (0.9034, 0.5966, 0.0000)  1 Mn 2.07
Ga (0.1887, 0.6887, 0.5000)  2 Ga 2.61, 6 Mn 2.61-2.64
Ga (0.3113, 0.1887, 0.5000)  2 Ga 2.61, 6 Mn 2.61-2.64
Ga (0.6887, 0.8113, 0.5000)  2 Ga 2.61, 6 Mn 2.61-2.64
Ga (0.8113, 0.3113, 0.5000)  2 Ga 2.61, 6 Mn 2.61-2.64



Q) NaMn2Ga2 | PBE | relaxed

Summary:
The total magnetic moment is 0.00 μB per atom.

Unit cell a=7.6188 b=7.6188 c=2.5825 alpha=90.00 beta=90.00 gamma=90.00
With the nearest neighbours (Å) after each atom.
Sites, in units of the cell vectors:
Na (0.0000, 0.0000, 0.0000)  2 Na 2.58, 4 Ga 2.78
Na (0.5000, 0.5000, 0.0000)  2 Na 2.58, 4 Ga 2.78
Mn (0.0967, 0.4033, 0.5000)  1 Mn 2.08
Mn (0.4033, 0.9033, 0.5000)  1 Mn 2.08
Mn (0.5967, 0.0967, 0.5000)  1 Mn 2.08
Mn (0.9033, 0.5967, 0.5000)  1 Mn 2.08
Ga (0.1876, 0.6876, 0.0000)  2 Ga 2.58, 6 Mn 2.62-2.66, 2 Na 2.78
Ga (0.3124, 0.1876, 0.0000)  2 Ga 2.58, 6 Mn 2.62-2.66, 2 Na 2.78
Ga (0.6876, 0.8124, 0.0000)  2 Ga 2.58, 6 Mn 2.62-2.66, 2 Na 2.78
Ga (0.8124, 0.3124, 0.0000)  2 Ga 2.58, 6 Mn 2.62-2.66, 2 Na 2.78



Least stable of them? Q).



P) Na3MnGa | PBE | relaxed

Summary:
The total magnetic moment is 0.88 μB per atom.

Unit cell a=5.5636 b=5.5636 c=5.5636 alpha=90.00 beta=90.00 gamma=90.00
With the nearest neighbours (Å) after each atom.
Sites, in units of the cell vectors:
Na (0.0000, 0.0000, 0.5000)  2 Ga 2.78
Na (0.0000, 0.5000, 0.0000)  2 Ga 2.78
Na (0.5000, 0.0000, 0.0000)  2 Ga 2.78
Mn (0.5000, 0.5000, 0.5000)  12 Na 3.93
Ga (0.0000, 0.0000, 0.0000)  6 Na 2.78



Q) Na3MnGa | PBE | relaxed

Summary:
The total magnetic moment is 0.86 μB per atom.

Unit cell a=5.5436 b=5.5436 c=5.5436 alpha=90.00 beta=90.00 gamma=90.00
With the nearest neighbours (Å) after each atom.
Sites, in units of the cell vectors:
Na (0.0000, 0.0000, 0.5000)  2 Mn 2.77
Na (0.0000, 0.5000, 0.0000)  2 Mn 2.77
Na (0.5000, 0.0000, 0.0000)  2 Mn 2.77
Mn (0.0000, 0.0000, 0.0000)  6 Na 2.77
Ga (0.5000, 0.5000, 0.5000)  12 Na 3.92



Least stable of them? Q).



P) MnNb3Ga | PBE | relaxed

Summary:
The total magnetic moment is 0.17 μB per atom.

Unit cell a=4.7008 b=4.7008 c=4.7008 alpha=90.00 beta=90.00 gamma=90.00
With the nearest neighbours (Å) after each atom.
Sites, in units of the cell vectors:
Mn (0.0000, 0.0000, 0.0000)  12 Nb 3.32
Nb (0.0000, 0.5000, 0.5000)  2 Ga 2.35
Nb (0.5000, 0.0000, 0.5000)  2 Ga 2.35
Nb (0.5000, 0.5000, 0.0000)  2 Ga 2.35
Ga (0.5000, 0.5000, 0.5000)  6 Nb 2.35



Q) MnNb3Ga | PBE | relaxed

Summary:
The total magnetic moment is 0.00 μB per atom.

Unit cell a=4.5900 b=4.5900 c=4.5900 alpha=90.00 beta=90.00 gamma=90.00
With the nearest neighbours (Å) after each atom.
Sites, in units of the cell vectors:
Mn (0.0000, 0.0000, 0.0000)  6 Nb 2.29
Nb (0.0000, 0.0000, 0.5000)  2 Mn 2.29
Nb (0.0000, 0.5000, 0.0000)  2 Mn 2.29
Nb (0.5000, 0.0000, 0.0000)  2 Mn 2.29
Ga (0.5000, 0.5000, 0.5000)  12 Nb 3.25



Least stable of them? P).



P) Nd2MnGa | PBE | relaxed

Summary:
The total magnetic moment is 0.81 μB per atom.

Unit cell a=3.4169 b=3.4169 c=32.0843 alpha=90.00 beta=90.00 gamma=120.00
With the nearest neighbours (Å) after each atom.
Sites, in units of the cell vectors:
Nd (0.0000, 0.0000, 0.0921)  1 Mn 2.96, 3 Ga 3.10
Nd (0.0000, 0.0000, 0.9079)  1 Mn 2.96, 3 Ga 3.10
Nd (0.3333, 0.6667, 0.5746)  1 Mn 2.96, 3 Ga 3.10
Nd (0.3333, 0.6667, 0.7588)  1 Mn 2.96, 3 Ga 3.10
Nd (0.6667, 0.3333, 0.2412)  1 Mn 2.96, 3 Ga 3.10
Nd (0.6667, 0.3333, 0.4254)  1 Mn 2.96, 3 Ga 3.10
Mn (0.0000, 0.0000, 0.0000)  2 Nd 2.96
Mn (0.3333, 0.6667, 0.6667)  2 Nd 2.96
Mn (0.6667, 0.3333, 0.3333)  2 Nd 2.96
Ga (0.0000, 0.0000, 0.5000)  6 Nd 3.10, 6 Ga 3.42
Ga (0.3333, 0.6667, 0.1667)  6 Nd 3.10, 6 Ga 3.42
Ga (0.6667, 0.3333, 0.8333)  6 Nd 3.10, 6 Ga 3.42



Q) Nd2MnGa | PBE | relaxed

Summary:
The total magnetic moment is 0.83 μB per atom.

Unit cell a=7.3782 b=7.3782 c=7.3782 alpha=90.00 beta=90.00 gamma=90.00
With the nearest neighbours (Å) after each atom.
Sites, in units of the cell vectors:
Nd (0.2500, 0.2500, 0.2500)  4 Mn 3.19, 4 Ga 3.19
Nd (0.2500, 0.2500, 0.7500)  4 Mn 3.19, 4 Ga 3.19
Nd (0.2500, 0.7500, 0.2500)  4 Mn 3.19, 4 Ga 3.19
Nd (0.2500, 0.7500, 0.7500)  4 Mn 3.19, 4 Ga 3.19
Nd (0.7500, 0.2500, 0.2500)  4 Mn 3.19, 4 Ga 3.19
Nd (0.7500, 0.2500, 0.7500)  4 Mn 3.19, 4 Ga 3.19
Nd (0.7500, 0.7500, 0.2500)  4 Mn 3.19, 4 Ga 3.19
Nd (0.7500, 0.7500, 0.7500)  4 Ga 3.19, 4 Mn 3.19
Mn (0.0000, 0.0000, 0.0000)  8 Nd 3.19
Mn (0.0000, 0.5000, 0.5000)  8 Nd 3.19
Mn (0.5000, 0.0000, 0.5000)  8 Nd 3.19
Mn (0.5000, 0.5000, 0.0000)  8 Nd 3.19
Ga (0.0000, 0.0000, 0.5000)  8 Nd 3.19
Ga (0.0000, 0.5000, 0.0000)  8 Nd 3.19
Ga (0.5000, 0.0000, 0.0000)  8 Nd 3.19
Ga (0.5000, 0.5000, 0.5000)  8 Nd 3.19



Least stable of them? P).



P) Mn2GaNi8 | PBE | relaxed

Summary:
The total magnetic moment is 0.92 μB per atom.

Unit cell a=7.0216 b=7.0216 c=4.3223 alpha=106.92 beta=106.92 gamma=125.40
With the nearest neighbours (Å) after each atom.
Sites, in units of the cell vectors:
Mn (0.1873, 0.8127, 0.0000)  12 Ni 2.49-2.71
Mn (0.8127, 0.1873, 0.0000)  12 Ni 2.49-2.71
Ga (0.5000, 0.5000, 0.5000)  4 Ni 2.41-2.46
Ni (0.0437, 0.0437, 0.2857)  4 Ni 2.16-2.34
Ni (0.1264, 0.3938, 0.7748)  7 Ni 2.34-2.60, 2 Mn 2.50-2.53
Ni (0.3066, 0.6934, 0.5000)  1 Ga 2.41, 4 Mn 2.49-2.62, 6 Ni 2.52-2.59
Ni (0.3938, 0.1264, 0.7748)  7 Ni 2.34-2.60, 2 Mn 2.50-2.53
Ni (0.6062, 0.8736, 0.2252)  7 Ni 2.34-2.60, 2 Mn 2.50-2.53
Ni (0.6934, 0.3066, 0.5000)  1 Ga 2.41, 4 Mn 2.49-2.62, 6 Ni 2.52-2.59
Ni (0.8736, 0.6062, 0.2252)  7 Ni 2.34-2.60, 2 Mn 2.50-2.53
Ni (0.9563, 0.9563, 0.7143)  4 Ni 2.16-2.34



Q) Mn2GaNi8 | PBE | relaxed

Summary:
The total magnetic moment is 0.94 μB per atom.

Unit cell a=6.5677 b=6.5677 c=6.5677 alpha=148.51 beta=112.50 gamma=76.38
With the nearest neighbours (Å) after each atom.
Sites, in units of the cell vectors:
Mn (0.1455, 0.1455, 0.0000)  10 Ni 2.46-2.63
Mn (0.8545, 0.8545, 0.0000)  10 Ni 2.46-2.63
Ga (0.5000, 0.5000, 0.0000)  12 Ni 2.46-2.58
Ni (0.0883, 0.3323, 0.7559)  7 Ni 2.44-2.52, 1 Ga 2.48, 3 Mn 2.59-2.63
Ni (0.2670, 0.0000, 0.2670)  2 Mn 2.46, 2 Ga 2.46, 6 Ni 2.49-2.52
Ni (0.3194, 0.8194, 0.5000)  8 Ni 2.44-2.52, 2 Mn 2.53, 2 Ga 2.58
Ni (0.4236, 0.6677, 0.7559)  7 Ni 2.44-2.52, 1 Ga 2.48, 3 Mn 2.59-2.63
Ni (0.5764, 0.3323, 0.2441)  7 Ni 2.44-2.52, 1 Ga 2.48, 3 Mn 2.59-2.63
Ni (0.6806, 0.1806, 0.5000)  8 Ni 2.44-2.52, 2 Mn 2.53, 2 Ga 2.58
Ni (0.7330, 0.0000, 0.7330)  2 Mn 2.46, 2 Ga 2.46, 6 Ni 2.49-2.52
Ni (0.9117, 0.6677, 0.2441)  7 Ni 2.44-2.52, 1 Ga 2.48, 3 Mn 2.59-2.63



Least stable of them? P).



P) MnGaNi3 | PBE | relaxed

Summary:
The total magnetic moment is 0.77 μB per atom.

Unit cell a=4.3039 b=4.3065 c=6.9239 alpha=85.52 beta=71.96 gamma=75.63
With the nearest neighbours (Å) after each atom.
Sites, in units of the cell vectors:
Mn (0.1463, 0.2500, 0.2075)  9 Ni 2.49-2.58, 3 Ga 2.64-2.73
Mn (0.8537, 0.7500, 0.7925)  9 Ni 2.49-2.58, 3 Ga 2.64-2.73
Ga (0.3537, 0.2502, 0.7925)  9 Ni 2.49-2.59, 3 Mn 2.64-2.73
Ga (0.6463, 0.7498, 0.2075)  9 Ni 2.49-2.59, 3 Mn 2.64-2.73
Ni (0.0497, 0.7499, 0.4004)  2 Ga 2.50, 3 Mn 2.50-2.58, 7 Ni 2.52-2.64
Ni (0.2505, 0.7502, 0.9990)  4 Mn 2.54-2.55, 4 Ga 2.55, 4 Ni 2.62-2.64
Ni (0.4493, 0.7500, 0.6013)  2 Mn 2.49, 3 Ga 2.49-2.59, 7 Ni 2.52-2.64
Ni (0.5507, 0.2500, 0.3987)  2 Mn 2.49, 3 Ga 2.49-2.59, 7 Ni 2.52-2.64
Ni (0.7495, 0.2498, 0.0010)  4 Mn 2.54-2.55, 4 Ga 2.55, 4 Ni 2.62-2.64
Ni (0.9503, 0.2501, 0.5996)  2 Ga 2.50, 3 Mn 2.50-2.58, 7 Ni 2.52-2.64



Q) MnGaNi3 | PBE | relaxed

Summary:
The total magnetic moment is 0.90 μB per atom.

Unit cell a=6.2027 b=6.2027 c=8.1447 alpha=90.00 beta=90.00 gamma=72.64
With the nearest neighbours (Å) after each atom.
Sites, in units of the cell vectors:
Mn (0.0018, 0.9982, 0.7500)  6 Ni 2.46-2.59
Mn (0.3803, 0.6197, 0.7500)  8 Ni 2.49-2.58, 1 Mn 2.78
Mn (0.6197, 0.3803, 0.2500)  8 Ni 2.49-2.58, 1 Mn 2.78
Mn (0.9982, 0.0018, 0.2500)  6 Ni 2.46-2.59
Ga (0.0000, 0.5000, 0.0000)  6 Ni 2.28-2.54
Ga (0.0000, 0.5000, 0.5000)  6 Ni 2.28-2.54
Ga (0.5000, 0.0000, 0.0000)  6 Ni 2.28-2.54
Ga (0.5000, 0.0000, 0.5000)  6 Ni 2.28-2.54
Ni (0.1877, 0.5688, 0.2500)  5 Ni 2.43-2.51, 2 Ga 2.45, 2 Mn 2.58-2.59
Ni (0.1900, 0.8100, 0.0022)  3 Mn 2.46-2.49, 4 Ni 2.51-2.55, 2 Ga 2.54
Ni (0.1900, 0.8100, 0.4978)  3 Mn 2.46-2.49, 4 Ni 2.51-2.55, 2 Ga 2.54
Ni (0.3852, 0.3852, 0.0000)  2 Ga 2.28, 5 Ni 2.30-2.55, 2 Mn 2.50
Ni (0.3852, 0.3852, 0.5000)  2 Ga 2.28, 5 Ni 2.30-2.55, 2 Mn 2.50
Ni (0.4312, 0.8123, 0.2500)  5 Ni 2.43-2.51, 2 Ga 2.45, 2 Mn 2.58-2.59
Ni (0.5688, 0.1877, 0.7500)  5 Ni 2.43-2.51, 2 Ga 2.45, 2 Mn 2.58-2.59
Ni (0.6148, 0.6148, 0.0000)  2 Ga 2.28, 5 Ni 2.30-2.55, 2 Mn 2.50
Ni (0.6148, 0.6148, 0.5000)  2 Ga 2.28, 5 Ni 2.30-2.55, 2 Mn 2.50
Ni (0.8100, 0.1900, 0.5022)  3 Mn 2.46-2.49, 4 Ni 2.51-2.55, 2 Ga 2.54
Ni (0.8100, 0.1900, 0.9978)  3 Mn 2.46-2.49, 4 Ni 2.51-2.55, 2 Ga 2.54
Ni (0.8123, 0.4312, 0.7500)  5 Ni 2.43-2.51, 2 Ga 2.45, 2 Mn 2.58-2.59



Least stable of them? Q).



P) Mn2GaNi3 | PBE | relaxed

Summary:
The total magnetic moment is 1.40 μB per atom.

Unit cell a=4.1068 b=4.1068 c=10.0889 alpha=90.00 beta=90.00 gamma=120.00
With the nearest neighbours (Å) after each atom.
Sites, in units of the cell vectors:
Mn (0.0000, 0.0000, 0.0000)  8 Ni 2.51-2.52
Mn (0.0000, 0.0000, 0.5000)  8 Ni 2.51-2.52
Mn (0.3333, 0.6667, 0.1675)  8 Ni 2.51-2.53
Mn (0.6667, 0.3333, 0.8325)  8 Ni 2.51-2.53
Ga (0.3333, 0.6667, 0.6664)  8 Ni 2.51-2.54
Ga (0.6667, 0.3333, 0.3336)  8 Ni 2.51-2.54
Ni (0.0000, 0.0000, 0.2499)  5 Mn 2.51-2.52, 3 Ga 2.52
Ni (0.0000, 0.0000, 0.7501)  5 Mn 2.51-2.52, 3 Ga 2.52
Ni (0.3333, 0.6667, 0.4178)  4 Ga 2.51-2.52, 4 Mn 2.51-2.53
Ni (0.3333, 0.6667, 0.9181)  7 Mn 2.51-2.52, 1 Ga 2.54
Ni (0.6667, 0.3333, 0.0819)  7 Mn 2.51-2.52, 1 Ga 2.54
Ni (0.6667, 0.3333, 0.5822)  4 Ga 2.51-2.52, 4 Mn 2.51-2.53



Q) Mn2GaNi3 | PBE | relaxed

Summary:
The total magnetic moment is 1.38 μB per atom.

Unit cell a=4.1024 b=4.1024 c=5.0513 alpha=90.00 beta=90.00 gamma=120.00
With the nearest neighbours (Å) after each atom.
Sites, in units of the cell vectors:
Mn (0.3333, 0.6667, 0.1714)  8 Ni 2.49-2.55
Mn (0.6667, 0.3333, 0.8286)  8 Ni 2.49-2.55
Ga (0.0000, 0.0000, 0.5000)  8 Ni 2.53
Ni (0.0000, 0.0000, 0.0000)  6 Mn 2.52, 2 Ga 2.53
Ni (0.3333, 0.6667, 0.6754)  5 Mn 2.49-2.55, 3 Ga 2.53
Ni (0.6667, 0.3333, 0.3246)  5 Mn 2.49-2.55, 3 Ga 2.53



Least stable of them? Q).



P) MnGa2Ni2 | PBE | relaxed

Summary:
The total magnetic moment is 0.77 μB per atom.

Unit cell a=4.0873 b=4.0873 c=4.8633 alpha=90.00 beta=90.00 gamma=120.00
With the nearest neighbours (Å) after each atom.
Sites, in units of the cell vectors:
Mn (0.0000, 0.0000, 0.0000)  6 Ni 2.47
Ga (0.3333, 0.6667, 0.3471)  5 Ni 2.43-2.54
Ga (0.6667, 0.3333, 0.6529)  5 Ni 2.43-2.54
Ni (0.3333, 0.6667, 0.8474)  5 Ga 2.43-2.54, 3 Mn 2.47
Ni (0.6667, 0.3333, 0.1526)  5 Ga 2.43-2.54, 3 Mn 2.47



Q) MnGa2Ni2 | PBE | relaxed

Summary:
The total magnetic moment is 0.78 μB per atom.

Unit cell a=6.9707 b=6.9707 c=2.7158 alpha=90.00 beta=90.00 gamma=90.00
With the nearest neighbours (Å) after each atom.
Sites, in units of the cell vectors:
Mn (0.0000, 0.0000, 0.0000)  4 Ga 2.68, 2 Mn 2.72, 8 Ni 2.96
Mn (0.5000, 0.5000, 0.0000)  4 Ga 2.68, 2 Mn 2.72, 8 Ni 2.96
Ga (0.1423, 0.3577, 0.0000)  6 Ni 2.41-2.48, 2 Mn 2.68
Ga (0.3577, 0.8577, 0.0000)  6 Ni 2.41-2.48, 2 Mn 2.68
Ga (0.6423, 0.1423, 0.0000)  6 Ni 2.41-2.48, 2 Mn 2.68
Ga (0.8577, 0.6423, 0.0000)  6 Ni 2.41-2.48, 2 Mn 2.68
Ni (0.1555, 0.6555, 0.5000)  6 Ga 2.41-2.48
Ni (0.3445, 0.1555, 0.5000)  6 Ga 2.41-2.48
Ni (0.6555, 0.8445, 0.5000)  6 Ga 2.41-2.48
Ni (0.8445, 0.3445, 0.5000)  6 Ga 2.41-2.48



Least stable of them? Q).